Entry from Alexandria via LeMat-Bulk: a geometry-optimized BaSrAl structure (PBE).

a = 5.630 Å, b = 5.630 Å, c = 5.630 Å
α = 60.00°, β = 60.00°, γ = 60.00°
Fractional positions:
Ba 0.750 0.750 0.750
Sr 0.000 0.000 0.000
Al 0.500 0.500 0.500

formation enthalpy at 0 K: 0.468 eV/atom
polymorph energy (0 for the lowest one): 0.5452 eV/atom
SG: F-43m, No. 216



Entry from Alexandria via LeMat-Bulk: a geometry-optimized BaSr2Al structure (PBE).

a = 4.065 Å, b = 4.065 Å, c = 10.708 Å
α = 90.00°, β = 90.00°, γ = 90.02°
Fractional positions:
Ba 0.500 0.500 0.750
Al 0.500 0.500 0.250
Sr 0.000 0.000 0.074
Sr 0.000 0.000 0.426

formation enthalpy at 0 K: -0.029 eV/atom
SG: P4/mmm, No. 123



Entry from Alexandria via LeMat-Bulk: a geometry-optimized BaSr2Al2 structure (PBE).

a = 5.893 Å, b = 5.893 Å, c = 7.363 Å
α = 66.41°, β = 66.41°, γ = 90.00°
Fractional positions:
Sr 0.347 0.347 0.307
Sr 0.653 0.653 0.693
Ba 0.000 0.000 0.000
Al 0.750 0.250 0.500
Al 0.250 0.750 0.500

formation enthalpy at 0 K: 0.196 eV/atom
polymorph energy (0 for the lowest one): 0.3201 eV/atom
SG: I4/mmm, No. 139



Entry from Alexandria via LeMat-Bulk: a geometry-optimized BaSrAl structure (PBE).

a = 4.625 Å, b = 5.309 Å, c = 11.034 Å
α = 76.04°, β = 90.00°, γ = 90.00°
Fractional positions:
Sr 0.250 0.194 0.612
Sr 0.750 0.806 0.388
Ba 0.750 0.582 0.835
Ba 0.250 0.418 0.165
Al 0.250 0.031 0.939
Al 0.750 0.969 0.061

formation enthalpy at 0 K: -0.078 eV/atom
polymorph energy (0 for the lowest one): 0.0000 eV/atom
SG: P2_1/m, No. 11



Entry from Alexandria via LeMat-Bulk: a geometry-optimized BaSr2Al structure (PBE).

a = 6.303 Å, b = 6.303 Å, c = 6.303 Å
α = 125.74°, β = 125.74°, γ = 80.32°
Fractional positions:
Sr 0.500 0.500 0.000
Sr 0.000 0.000 0.000
Ba 0.750 0.250 0.500
Al 0.250 0.750 0.500

formation enthalpy at 0 K: 0.094 eV/atom
SG: I4/mmm, No. 139



Entry from Alexandria via LeMat-Bulk: a geometry-optimized BaSrAl structure (PBE).

a = 7.987 Å, b = 7.987 Å, c = 4.094 Å
α = 75.15°, β = 75.15°, γ = 29.70°
Fractional positions:
Al 0.006 0.006 0.994
Sr 0.627 0.627 0.373
Ba 0.367 0.367 0.633

formation enthalpy at 0 K: -0.073 eV/atom
polymorph energy (0 for the lowest one): 0.0048 eV/atom
SG: I4mm, No. 107



Entry from Alexandria via LeMat-Bulk: a geometry-optimized BaSr2Al structure (PBE).

a = 4.125 Å, b = 4.151 Å, c = 11.227 Å
α = 68.42°, β = 90.00°, γ = 90.00°
Fractional positions:
Sr 0.500 0.182 0.317
Sr 0.000 0.987 0.014
Ba 0.500 0.817 0.684
Al 0.000 0.514 0.485

formation enthalpy at 0 K: -0.046 eV/atom
SG: Pm, No. 6



Entry from Alexandria via LeMat-Bulk: a geometry-optimized Ba2SrAl6 structure (PBE).

a = 6.555 Å, b = 6.555 Å, c = 6.808 Å
α = 89.98°, β = 89.98°, γ = 60.04°
Fractional positions:
Al 0.192 0.192 0.627
Al 0.192 0.616 0.627
Al 0.808 0.384 0.373
Al 0.808 0.808 0.373
Al 0.616 0.192 0.627
Al 0.384 0.808 0.373
Sr 0.000 0.000 0.000
Ba 0.667 0.667 0.857
Ba 0.333 0.333 0.143

formation enthalpy at 0 K: -0.089 eV/atom
polymorph energy (0 for the lowest one): 0.0000 eV/atom
SG: P-3m1, No. 164